(1)
DFT (PBEsol) results for crystalline La2CrRh at its relaxed geometry.

Values from the calculation:
As for the crystal system: orthorhombic.

abc: 3.862 4.251 6.200
angles: 110.07 90.00 90.00
Site moments in Bohr magnetons follow the coordinates.
Element x y z (fractional)
Cr: 0.500 0.317 0.759  3.06
La: 0.000 0.898 0.922  0.01
La: 0.500 0.614 0.353  -0.04
Rh: 0.000 0.170 0.466  0.08


(2)
DFT (PBEsol) results for crystalline La2CrRh at its relaxed geometry.

Values from the calculation:
As for the crystal system: tetragonal.

abc: 3.618 3.618 7.086
angles: 90.00 90.00 90.00
Site moments in Bohr magnetons follow the coordinates.
Element x y z (fractional)
Cr: 0.500 0.500 0.500  3.40
La: 0.000 0.000 0.767  -0.06
La: 0.000 0.000 0.233  -0.06
Rh: 0.500 0.500 0.000  0.07


(3)
DFT (PBEsol) results for crystalline LaCrRu2 at its relaxed geometry.

Values from the calculation:
As for the crystal system: trigonal.

abc: 2.837 2.837 9.321
angles: 81.25 81.25 60.00
Element x y z (fractional)
Cr: 0.500 0.500 0.500
La: 0.000 0.000 0.000
Ru: 0.235 0.235 0.296
Ru: 0.765 0.765 0.704


(4)
DFT (PBEsol) results for crystalline LaCrRu2 at its relaxed geometry.

Values from the calculation:
As for the crystal system: tetragonal.

abc: 4.352 4.635 4.352
angles: 62.00 90.00 118.00
Site moments in Bohr magnetons follow the coordinates.
Element x y z (fractional)
Cr: 0.500 0.000 0.500  2.35
La: 0.750 0.500 0.750  0.03
Ru: 0.000 0.000 0.000  -0.52
Ru: 0.250 0.500 0.250  -0.54


Number 1: ΔE_f -0.023 eV/atom, Fermi-level density of states 0.819 states/eV/atom. Number 2: ΔE_f 0.046 eV/atom, Fermi-level density of states 0.838 states/eV/atom. Number 3: ΔE_f 0.522 eV/atom, Fermi-level density of states 1.481 states/eV/atom. Number 4: ΔE_f 0.587 eV/atom, Fermi-level density of states 1.438 states/eV/atom.